Entry 1:
This record from Alexandria describes crystalline Ni4MoOs at its relaxed geometry. The functional is PBE.

Computed properties:
DFT formation energy (eV/atom): 0.013
Total magnetic moment (μB/atom): 0.27

Cell: 6.6030 6.6030 6.6030 Å, 90.00 90.00 90.00°
Closest atoms and distances in Å follow each position.
Space group F-43m (No. 216)
Inequivalent atoms, fractional coordinates:
Ni 0.1248 0.1248 0.1248 x16  6 Ni 2.33-2.34
Mo 0.0000 0.0000 0.5000 x4  12 Ni 2.74, 4 Os 2.86
Os 0.2500 0.2500 0.7500 x4  12 Ni 2.74, 4 Mo 2.86

Entry 2:
This record from Alexandria describes crystalline NiMoOs at its relaxed geometry. The functional is PBE.

Computed properties:
DFT formation energy (eV/atom): 0.067
Total magnetic moment (μB/atom): 0.00

Cell: 9.9312 2.6891 7.2331 Å, 90.00 121.59 90.00°
Closest atoms and distances in Å follow each position.
Space group Cm (No. 8)
Inequivalent atoms, fractional coordinates:
Ni 0.0000 0.0000 0.0000 x2  1 Ni 2.36, 2 Mo 2.59, 1 Os 2.64
Ni 0.2503 0.0000 0.3246 x2  1 Ni 2.36, 1 Mo 2.51, 3 Os 2.62-2.63
Mo 0.2283 0.5000 0.9943 x2  5 Ni 2.65-2.68, 4 Mo 2.69-2.83, 4 Os 2.80-2.93
Mo 0.2726 0.0000 0.6863 x2  3 Ni 2.51-2.59, 3 Os 2.61-2.76, 2 Mo 2.69
Os 0.0160 0.5000 0.3270 x2  5 Ni 2.63-2.70, 4 Os 2.69, 4 Mo 2.85-2.93
Os 0.4908 0.5000 0.6292 x2  5 Mo 2.61-2.80, 3 Ni 2.62-2.64, 4 Os 2.69

Entry 3:
This record from Alexandria describes crystalline NiMoOs at its relaxed geometry. The functional is PBE.

Computed properties:
DFT formation energy (eV/atom): 0.039
Total magnetic moment (μB/atom): 0.00

Cell: 2.6534 3.8952 8.0224 Å, 90.00 90.00 90.00°
Closest atoms and distances in Å follow each position.
Space group Imm2 (No. 44)
Inequivalent atoms, fractional coordinates:
Ni 0.0000 0.0000 0.0000 x2  5 Mo 2.65-2.72, 2 Ni 2.65, 5 Os 2.68-2.73
Mo 0.0000 0.0000 0.6694 x2  5 Os 2.64-2.73, 5 Ni 2.65-2.72, 2 Mo 2.65
Os 0.0000 0.0000 0.3408 x2  5 Mo 2.64-2.73, 2 Os 2.65, 5 Ni 2.68-2.73

Entry 4:
This record from Alexandria describes crystalline NiMoOs at its relaxed geometry. The functional is PBE.

Computed properties:
DFT formation energy (eV/atom): 0.114
Total magnetic moment (μB/atom): 0.00

Cell: 2.6750 4.2394 7.3649 Å, 90.00 90.00 90.00°
Closest atoms and distances in Å follow each position.
Space group Pmmn (No. 59, origin choice 2)
Inequivalent atoms, fractional coordinates:
Ni 0.2500 0.2500 0.0573 x2  4 Mo 2.54-2.61, 6 Ni 2.64-2.67, 2 Os 2.82
Mo 0.2500 0.7500 0.2471 x2  4 Ni 2.54-2.61, 5 Os 2.64-2.73, 2 Mo 2.67
Os 0.2500 0.7500 0.6055 x2  5 Mo 2.64-2.73, 6 Os 2.67-2.95, 2 Ni 2.82

Entry 5:
This record from Alexandria describes crystalline NiMoOs at its relaxed geometry. The functional is PBE.

Computed properties:
DFT formation energy (eV/atom): 0.044
Total magnetic moment (μB/atom): 0.00

Cell: 3.8008 3.8276 11.3667 Å, 90.00 90.00 90.00°
Closest atoms and distances in Å follow each position.
Space group Amm2 (No. 38)
Inequivalent atoms, fractional coordinates:
Ni 0.0000 0.0000 0.0000 x2  4 Mo 2.64-2.70, 6 Os 2.65-2.70, 2 Ni 2.69
Ni 0.5000 0.0000 0.1679 x2  6 Mo 2.67-2.70, 2 Ni 2.69, 4 Os 2.71-2.72
Mo 0.0000 0.0000 0.3329 x2  4 Ni 2.67-2.70, 6 Os 2.68-2.70, 2 Mo 2.74
Mo 0.0000 0.0000 0.6603 x2  4 Os 2.64-2.77, 6 Ni 2.64-2.70, 2 Mo 2.74
Os 0.5000 0.0000 0.4994 x2  4 Mo 2.64-2.68, 2 Os 2.65, 6 Ni 2.70-2.71
Os 0.5000 0.0000 0.8376 x2  4 Ni 2.65-2.72, 2 Os 2.65, 6 Mo 2.70-2.77

Entry 6:
This record from Alexandria describes crystalline NiMoOs3 at its relaxed geometry. The functional is PBE.

Computed properties:
DFT formation energy (eV/atom): 1.818
Total magnetic moment (μB/atom): 0.10

Cell: 4.3584 4.3584 4.3584 Å, 90.00 90.00 90.00°
Closest atoms and distances in Å follow each position.
Space group Pm-3m (No. 221)
Inequivalent atoms, fractional coordinates:
Ni 0.0000 0.0000 0.0000 x1  6 Os 2.18
Mo 0.5000 0.5000 0.5000 x1  12 Os 3.08
Os 0.0000 0.0000 0.5000 x3  2 Ni 2.18

Entry 7:
This record from Alexandria describes crystalline NiMoOs at its relaxed geometry. The functional is PBE.

Computed properties:
DFT formation energy (eV/atom): -0.014
Total magnetic moment (μB/atom): 0.00

Cell: 2.7396 13.8785 4.3184 Å, 90.00 90.00 90.00°
Closest atoms and distances in Å follow each position.
Space group Cmcm (No. 63)
Inequivalent atoms, fractional coordinates:
Ni 0.0000 0.0540 0.2500 x4  6 Mo 2.60-2.65, 4 Ni 2.63-2.74, 2 Os 2.67
Mo 0.0000 0.3948 0.2500 x4  6 Ni 2.60-2.65, 4 Os 2.68-2.80, 2 Mo 2.74
Os 0.0000 0.2809 0.7500 x4  2 Ni 2.67, 4 Mo 2.68-2.80, 6 Os 2.70-2.74

Entry 8:
This record from Alexandria describes crystalline NiMoOs at its relaxed geometry. The functional is PBE.

Computed properties:
DFT formation energy (eV/atom): 0.019
Total magnetic moment (μB/atom): 0.00

Cell: 4.6958 2.7220 6.6461 Å, 90.00 103.29 90.00°
Closest atoms and distances in Å follow each position.
Space group Pm (No. 6)
Inequivalent atoms, fractional coordinates:
Ni 0.0000 0.0000 0.0000 x1  3 Ni 2.57-2.72, 3 Os 2.67-2.69, 6 Mo 2.69-2.72
Ni 0.2060 0.0000 0.6737 x1  3 Ni 2.57-2.72, 5 Os 2.63-2.77, 4 Mo 2.66-2.67
Mo 0.2685 0.5000 0.3408 x1  5 Os 2.66-2.76, 4 Ni 2.67-2.69, 3 Mo 2.72
Mo 0.4987 0.5000 0.0007 x1  3 Os 2.64-2.70, 6 Ni 2.66-2.72, 3 Mo 2.72
Os 0.7182 0.5000 0.6687 x1  2 Mo 2.64-2.66, 4 Os 2.65-2.72, 6 Ni 2.66-2.77
Os 0.7793 0.0000 0.3392 x1  2 Ni 2.63-2.69, 4 Os 2.65-2.72, 6 Mo 2.67-2.76

Entry 9:
This record from Alexandria describes crystalline NiMoOs at its relaxed geometry. The functional is PBE.

Computed properties:
DFT formation energy (eV/atom): 0.582
Total magnetic moment (μB/atom): 0.00

Cell: 5.8463 5.8463 5.8463 Å, 90.00 90.00 90.00°
Closest atoms and distances in Å follow each position.
Space group F-43m (No. 216)
Inequivalent atoms, fractional coordinates:
Ni 0.0000 0.0000 0.0000 x4  4 Os 2.53
Mo 0.0000 0.0000 0.5000 x4  4 Os 2.53
Os 0.2500 0.2500 0.7500 x4  4 Mo 2.53, 4 Ni 2.53

Entry 10:
This record from Alexandria describes crystalline NiMoOs at its relaxed geometry. The functional is PBE.

Computed properties:
DFT formation energy (eV/atom): 0.132
Total magnetic moment (μB/atom): 0.00

Cell: 2.6976 2.6976 11.3438 Å, 90.00 90.00 90.00°
Closest atoms and distances in Å follow each position.
Space group I4mm (No. 107)
Inequivalent atoms, fractional coordinates:
Ni 0.0000 0.0000 0.0000 x2  4 Os 2.63, 4 Mo 2.67, 4 Ni 2.70
Mo 0.0000 0.0000 0.3353 x2  4 Ni 2.67, 4 Mo 2.70, 4 Os 2.76
Os 0.0000 0.0000 0.6594 x2  4 Ni 2.63, 4 Os 2.70, 4 Mo 2.76

Entry 11:
This record from Alexandria describes crystalline NiMoOs at its relaxed geometry. The functional is PBE.

Computed properties:
DFT formation energy (eV/atom): 0.131
Total magnetic moment (μB/atom): 0.00

Cell: 4.2703 4.2703 2.6417 Å, 90.00 90.00 120.00°
Closest atoms and distances in Å follow each position.
Space group P3m1 (No. 156)
Inequivalent atoms, fractional coordinates:
Ni 0.0000 0.0000 0.0000 x1  3 Mo 2.47, 2 Ni 2.64
Mo 0.3333 0.6667 0.9438 x1  3 Ni 2.47, 2 Mo 2.64, 3 Os 2.74
Os 0.6667 0.3333 0.4901 x1  2 Os 2.64, 6 Mo 2.74-2.86, 6 Ni 2.78-2.81

Entry 12:
This record from Alexandria describes crystalline NiMoOs3 at its relaxed geometry. The functional is PBE.

Computed properties:
DFT formation energy (eV/atom): 2.472
Total magnetic moment (μB/atom): 0.56

Cell: 4.6659 4.6659 4.6659 Å, 90.00 90.00 90.00°
Closest atoms and distances in Å follow each position.
Space group Pm-3m (No. 221)
Inequivalent atoms, fractional coordinates:
Ni 0.0000 0.0000 0.0000 x1  12 Os 3.30
Mo 0.5000 0.5000 0.5000 x1  6 Os 2.33
Os 0.0000 0.5000 0.5000 x3  2 Mo 2.33